MgZrTa2 | PBE-GGA | optimized geometry

```
4
Lattice="1.7207 -2.3345 0.0000 1.7207 2.3345 0.0000 0.0000 0.0000 9.8651" Properties=species:S:1:pos:R:3 pbc="T T T"
Mg 0.0000 0.0000 0.0000
Zr 0.0000 0.0000 4.9326
Ta 1.7207 0.0000 2.4940
Ta 1.7207 0.0000 7.3711
```

Space-group type   No. 65
Energy relative to the elements   0.23 eV per atom